Entry 1:
The following is a DFT calculation (GGA-PBE) of Dy2Tm5Zr after structural relaxation.

Cell and atoms, written as CIF:
```
data_Dy2Tm5Zr
_chemical_formula_sum 'Dy4 Tm10 Zr2'
_cell_length_a 5.432
_cell_length_b 6.439
_cell_length_c 15.127
_cell_angle_alpha 90.00
_cell_angle_beta 90.00
_cell_angle_gamma 114.95
_space_group_name_H-M_alt 'P 1'
_space_group_IT_number 1
_space_group_name_Hall 'P 1'
loop_
_atom_site_label
_atom_site_fract_x
_atom_site_fract_y
_atom_site_fract_z
_atom_site_occupancy
Dy1 0.221 0.442 0.633 1
Tm1 0.464 0.928 0.750 1
Tm2 0.081 0.161 0.401 1
Tm3 0.536 0.072 0.250 1
Zr1 0.271 0.542 0.250 1
Dy2 0.221 0.442 0.867 1
Tm4 0.379 0.758 0.052 1
Tm5 0.621 0.242 0.948 1
Zr2 0.729 0.458 0.750 1
Tm6 0.919 0.839 0.901 1
Tm7 0.081 0.161 0.099 1
Tm8 0.379 0.758 0.448 1
Tm9 0.621 0.242 0.552 1
Dy3 0.779 0.558 0.367 1
Tm10 0.919 0.839 0.599 1
Dy4 0.779 0.558 0.133 1
```

Properties
Crystal system   orthorhombic
E_form   0.136 eV/atom
Space-group type   Cmcm, No. 63

---

Entry 2:
The following is a DFT calculation (GGA-PBE) of Er2NpGa2Ru5 after structural relaxation.

Cell and atoms, written as CIF:
```
data_Er2NpGa2Ru5
_chemical_formula_sum 'Er4 Np2 Ga4 Ru10'
_cell_length_a 3.421
_cell_length_b 10.068
_cell_length_c 10.068
_cell_angle_alpha 90.00
_cell_angle_beta 90.00
_cell_angle_gamma 90.00
_space_group_name_H-M_alt 'P 1'
_space_group_IT_number 1
_space_group_name_Hall 'P 1'
loop_
_atom_site_label
_atom_site_fract_x
_atom_site_fract_y
_atom_site_fract_z
_atom_site_occupancy
Ru1 0.500 0.698 0.433 1
Er1 0.000 0.832 0.668 1
Ru2 0.500 0.000 0.500 1
Ru3 0.500 0.933 0.198 1
Ru4 0.500 0.500 0.000 1
Er2 0.000 0.168 0.332 1
Ru5 0.500 0.067 0.802 1
Ga1 0.000 0.872 0.372 1
Ga2 0.000 0.628 0.872 1
Er3 0.000 0.668 0.168 1
Np1 0.000 0.000 0.000 1
Ga3 0.000 0.372 0.128 1
Ga4 0.000 0.128 0.628 1
Er4 0.000 0.332 0.832 1
Ru6 0.500 0.433 0.302 1
Ru7 0.500 0.567 0.698 1
Ru8 0.500 0.198 0.067 1
Np2 0.000 0.500 0.500 1
Ru9 0.500 0.302 0.567 1
Ru10 0.500 0.802 0.933 1
```

Properties
Crystal system   tetragonal
E_form   -0.398 eV/atom
Space-group type   P4/mbm, No. 127

---

Entry 3:
The following is a DFT calculation (GGA-PBE) of CeAlOs after structural relaxation.

Cell and atoms, written as CIF:
```
data_CeAlOs
_chemical_formula_sum 'Ce1 Al1 Os1'
_cell_length_a 3.161
_cell_length_b 3.161
_cell_length_c 6.178
_cell_angle_alpha 104.82
_cell_angle_beta 104.82
_cell_angle_gamma 90.00
_space_group_name_H-M_alt 'P 1'
_space_group_IT_number 1
_space_group_name_Hall 'P 1'
loop_
_atom_site_label
_atom_site_fract_x
_atom_site_fract_y
_atom_site_fract_z
_atom_site_occupancy
Al1 0.298 0.298 0.595 1
Ce1 0.017 0.017 0.034 1
Os1 0.686 0.686 0.371 1
```

Properties
Crystal system   tetragonal
E_form   -0.320 eV/atom
Space-group type   I4mm, No. 107

---

Entry 4:
The following is a DFT calculation (GGA-PBE) of Rb2In6GaPb after structural relaxation.

Cell and atoms, written as CIF:
```
data_Rb2In6GaPb
_chemical_formula_sum 'Rb4 In12 Ga2 Pb2'
_cell_length_a 7.583
_cell_length_b 7.583
_cell_length_c 14.786
_cell_angle_alpha 75.14
_cell_angle_beta 75.14
_cell_angle_gamma 60.00
_space_group_name_H-M_alt 'P 1'
_space_group_IT_number 1
_space_group_name_Hall 'P 1'
loop_
_atom_site_label
_atom_site_fract_x
_atom_site_fract_y
_atom_site_fract_z
_atom_site_occupancy
In1 0.778 0.370 0.075 1
In2 0.630 0.222 0.925 1
In3 0.222 0.630 0.925 1
In4 0.370 0.778 0.075 1
Ga1 0.000 0.000 0.000 1
In5 0.669 0.669 0.580 1
In6 0.778 0.778 0.075 1
Rb1 0.102 0.102 0.694 1
In7 0.222 0.222 0.925 1
Pb1 0.424 0.424 0.727 1
In8 0.331 0.331 0.420 1
In9 0.918 0.331 0.420 1
In10 0.082 0.669 0.580 1
Rb2 0.726 0.726 0.822 1
In11 0.669 0.082 0.580 1
Pb2 0.576 0.576 0.273 1
Rb3 0.274 0.274 0.178 1
Ga2 0.500 0.500 0.500 1
Rb4 0.898 0.898 0.306 1
In12 0.331 0.918 0.420 1
```

Properties
Crystal system   trigonal
E_form   -0.014 eV/atom
Space-group type   R-3m, No. 166

---

Entry 5:
The following is a DFT calculation (GGA-PBE) of KNi2Sb2 after structural relaxation.

Cell and atoms, written as CIF:
```
data_KNi2Sb2
_chemical_formula_sum 'K2 Ni4 Sb4'
_cell_length_a 8.178
_cell_length_b 8.178
_cell_length_c 3.134
_cell_angle_alpha 90.00
_cell_angle_beta 90.00
_cell_angle_gamma 90.00
_space_group_name_H-M_alt 'P 1'
_space_group_IT_number 1
_space_group_name_Hall 'P 1'
loop_
_atom_site_label
_atom_site_fract_x
_atom_site_fract_y
_atom_site_fract_z
_atom_site_occupancy
Ni1 0.114 0.386 0.000 1
Sb1 0.352 0.148 0.500 1
Ni2 0.886 0.614 0.000 1
K1 0.000 0.000 0.000 1
K2 0.500 0.500 0.000 1
Ni3 0.614 0.114 0.000 1
Sb2 0.852 0.352 0.500 1
Ni4 0.386 0.886 0.000 1
Sb3 0.148 0.648 0.500 1
Sb4 0.648 0.852 0.500 1
```

Properties
Energy relative to the elements, uncorrected   -0.066 eV per formula unit
Crystal system   tetragonal
Space-group type   P4/mbm, No. 127

---

Entry 6:
The following is a DFT calculation (GGA-PBE) of NdSmAs2Pd2 after structural relaxation.

Cell and atoms, written as CIF:
```
data_NdSmAs2Pd2
_chemical_formula_sum 'Nd1 Sm1 As2 Pd2'
_cell_length_a 4.377
_cell_length_b 4.377
_cell_length_c 7.769
_cell_angle_alpha 90.00
_cell_angle_beta 90.00
_cell_angle_gamma 120.00
_space_group_name_H-M_alt 'P 1'
_space_group_IT_number 1
_space_group_name_Hall 'P 1'
loop_
_atom_site_label
_atom_site_fract_x
_atom_site_fract_y
_atom_site_fract_z
_atom_site_occupancy
Pd1 0.333 0.667 0.755 1
As1 0.333 0.667 0.248 1
Sm1 0.000 0.000 0.000 1
Pd2 0.667 0.333 0.245 1
As2 0.667 0.333 0.752 1
Nd1 0.000 0.000 0.500 1
```

Properties
Crystal system   trigonal
E_form   -1.179 eV/atom
Space-group type   P-3m1, No. 164

---

Entry 7:
The following is a DFT calculation (GGA-PBE) of NaSrPr after structural relaxation.

Cell and atoms, written as CIF:
```
data_NaSrPr
_chemical_formula_sum 'Na2 Sr2 Pr2'
_cell_length_a 3.940
_cell_length_b 3.940
_cell_length_c 16.127
_cell_angle_alpha 90.00
_cell_angle_beta 90.00
_cell_angle_gamma 90.00
_space_group_name_H-M_alt 'P 1'
_space_group_IT_number 1
_space_group_name_Hall 'P 1'
loop_
_atom_site_label
_atom_site_fract_x
_atom_site_fract_y
_atom_site_fract_z
_atom_site_occupancy
Pr1 0.500 0.000 0.073 1
Pr2 0.000 0.500 0.927 1
Na1 0.000 0.500 0.571 1
Sr1 0.500 0.000 0.749 1
Na2 0.500 0.000 0.429 1
Sr2 0.000 0.500 0.251 1
```

Properties
Crystal system   tetragonal
E_form   0.052 eV/atom
Space-group type   P4/nmm, No. 129

---

Entry 8:
The following is a DFT calculation (GGA-PBE) of Li2Cu7Ni2 after structural relaxation.

Cell and atoms, written as CIF:
```
data_Li2Cu7Ni2
_chemical_formula_sum 'Li2 Cu7 Ni2'
_cell_length_a 3.891
_cell_length_b 6.028
_cell_length_c 6.677
_cell_angle_alpha 116.83
_cell_angle_beta 106.94
_cell_angle_gamma 90.00
_space_group_name_H-M_alt 'P 1'
_space_group_IT_number 1
_space_group_name_Hall 'P 1'
loop_
_atom_site_label
_atom_site_fract_x
_atom_site_fract_y
_atom_site_fract_z
_atom_site_occupancy
Li1 0.702 0.325 0.404 1
Cu1 0.145 0.057 0.290 1
Cu2 0.856 0.187 0.713 1
Ni1 0.500 0.338 0.000 1
Cu3 0.345 0.468 0.691 1
Li2 0.298 0.921 0.596 1
Cu4 0.855 0.767 0.710 1
Cu5 0.144 0.474 0.287 1
Cu6 0.655 0.777 0.309 1
Ni2 0.000 0.620 0.000 1
Cu7 0.500 0.920 0.000 1
```

Properties
Crystal system   orthorhombic
E_form   0.081 eV/atom
Space-group type   Imm2, No. 44

---

no.,DFT total energy (eV/atom),DOS at the Fermi energy (states/eV/f.u.)
1,-4.88,12.509
2,-7.85,8.177
3,-7.29,3.771
4,-2.52,5.062
5,-4.19,2.745
6,-6.04,1.148
7,-2.54,3.150
8,-3.92,6.138